Computed, not measured: a relaxed CaMg2Cu3 crystal at the PBE level of DFT.

## Properties
The total energy comes out at -34.6 eV for the cell shown. The space-group type is P6_3/mmc, No. 194. Its formation energy from the elements is 0.026 eV per atom.

abc: 5.3732 5.3732 8.7171
angles: 90.00 90.00 120.00
Fractional positions:
Ca 0.0000 0.0000 0.0000
Ca 0.0000 0.0000 0.5000
Mg 0.6667 0.3333 0.0840
Mg 0.3333 0.6667 0.5840
Mg 0.3333 0.6667 0.9160
Mg 0.6667 0.3333 0.4160
Cu 0.6352 0.8176 0.2500
Cu 0.1824 0.8176 0.2500
Cu 0.1824 0.3648 0.2500
Cu 0.3648 0.1824 0.7500
Cu 0.8176 0.1824 0.7500
Cu 0.8176 0.6352 0.7500

***

Computed, not measured: a relaxed Ba2PaSnTe5 crystal at the PBE level of DFT.

## Properties
The total energy comes out at -85.4 eV for the cell shown. The space-group type is Cmc2_1, No. 36.

abc: 4.6918 10.1991 15.4525
angles: 90.00 90.00 103.30
Fractional positions:
Ba 0.8654 0.7308 0.8037
Ba 0.0916 0.1832 0.6603
Ba 0.1346 0.2692 0.3037
Ba 0.9084 0.8168 0.1603
Pa 0.7786 0.5571 0.5288
Pa 0.2214 0.4429 0.0288
Sn 0.5459 0.0918 0.9481
Sn 0.4541 0.9082 0.4481
Te 0.3731 0.7461 0.9892
Te 0.6954 0.3908 0.8970
Te 0.4920 0.9841 0.7606
Te 0.2686 0.5372 0.6645
Te 0.9271 0.8541 0.5718
Te 0.6269 0.2539 0.4892
Te 0.3046 0.6092 0.3970
Te 0.5080 0.0159 0.2606
Te 0.7314 0.4628 0.1645
Te 0.0729 0.1459 0.0718

***

Computed, not measured: a relaxed Hg2AuF crystal at the PBE level of DFT.

## Properties
The value obtained for the offset from the most stable computed form is 0.0 kJ per mole of atoms. The total energy comes out at -15.5 eV for the cell shown. The space-group type is P1, No. 1.

abc: 8.8032 3.0853 8.8987
angles: 122.92 106.33 98.99
Fractional positions:
Hg 0.2234 0.7420 0.1522
Hg 0.2198 0.7328 0.4969
Hg 0.8295 0.3129 0.6659
Hg 0.6140 0.1611 0.9819
Au 0.2219 0.7377 0.8246
Au 0.7217 0.2371 0.3240
F 0.5550 0.2234 0.7111
F 0.8885 0.2506 0.9368